[1]
## ReH8Br6N2 (PBE)

Data for an optimized crystal structure of ReH8Br6N2.

Summary:
Its crystal system is cubic. As for the total energy: -4.368 eV per atom. As for the space-group type: Fm-3m, No. 225.

a = 7.523 Å, b = 7.523 Å, c = 7.523 Å
α = 60.00°, β = 60.00°, γ = 60.00°
Fractional positions:
Re1 0.000 0.000 0.000
H1 0.082 0.306 0.306
H2 0.306 0.082 0.306
H3 0.306 0.306 0.082
H4 0.306 0.306 0.306
H5 0.694 0.694 0.694
H6 0.694 0.694 0.918
H7 0.694 0.918 0.694
H8 0.918 0.694 0.694
Br1 0.238 0.238 0.762
Br2 0.238 0.762 0.238
Br3 0.238 0.762 0.762
Br4 0.762 0.238 0.238
Br5 0.762 0.238 0.762
Br6 0.762 0.762 0.238
N1 0.250 0.250 0.250
N2 0.750 0.750 0.750

***

[2]
## BaZnAgF7 (PBE)

Data for an optimized crystal structure of BaZnAgF7.

Summary:
Its crystal system is monoclinic. For the uncorrected formation energy, the calculation gives -52.16 kcal/mol of atoms. As for the space-group type: P2_1/c, No. 14. The density of states at the Fermi level is 0.1 states/eV/f.u.

a = 5.795 Å, b = 10.259 Å, c = 9.907 Å
α = 90.00°, β = 93.03°, γ = 90.00°
Fractional positions:
Ba1 0.233 0.177 0.004
Ba2 0.233 0.323 0.504
Ba3 0.767 0.677 0.496
Ba4 0.767 0.823 0.996
Zn1 0.191 0.605 0.807
Zn2 0.191 0.895 0.307
Zn3 0.809 0.105 0.693
Zn4 0.809 0.395 0.193
Ag1 0.306 0.610 0.184
Ag2 0.306 0.890 0.684
Ag3 0.694 0.110 0.316
Ag4 0.694 0.390 0.816
F1 0.010 0.716 0.246
F2 0.010 0.784 0.746
F3 0.099 0.539 0.628
F4 0.099 0.961 0.128
F5 0.131 0.064 0.623
F6 0.131 0.436 0.123
F7 0.240 0.698 0.990
F8 0.240 0.802 0.490
F9 0.367 0.052 0.379
F10 0.367 0.448 0.879
F11 0.401 0.539 0.377
F12 0.401 0.961 0.877
F13 0.478 0.714 0.747
F14 0.478 0.786 0.247
F15 0.522 0.214 0.753
F16 0.522 0.286 0.253
F17 0.599 0.039 0.123
F18 0.599 0.461 0.623
F19 0.633 0.552 0.121
F20 0.633 0.948 0.621
F21 0.760 0.198 0.510
F22 0.760 0.302 0.010
F23 0.869 0.564 0.877
F24 0.869 0.936 0.377
F25 0.901 0.039 0.872
F26 0.901 0.461 0.372
F27 0.990 0.216 0.254
F28 0.990 0.284 0.754

***

[3]
## Ho2SN (PBE)

Data for an optimized crystal structure of Ho2SN.

Summary:
Its crystal system is monoclinic. Its relative energy among the computed polymorphs is 384 meV/atom. For the uncorrected formation energy, the calculation gives -34.25 kcal/mol of atoms. As for the space-group type: Cm, No. 8. The density of states at the Fermi level is 2.2 states/eV/f.u.

a = 3.817 Å, b = 3.817 Å, c = 7.124 Å
α = 90.06°, β = 90.06°, γ = 60.00°
Fractional positions:
Ho1 0.000 0.000 0.000
Ho2 0.667 0.667 0.404
S1 0.001 0.001 0.627
N1 0.667 0.667 0.094

***

[4]
## LaHf2I (PBE)

Data for an optimized crystal structure of LaHf2I.

Summary:
Its crystal system is tetragonal. Its relative energy among the computed polymorphs is 0 meV/atom. For the uncorrected formation energy, the calculation gives 6.65 kcal/mol of atoms. As for the space-group type: I-42d, No. 122. The density of states at the Fermi level is 7.7 states/eV/f.u.

a = 11.632 Å, b = 11.632 Å, c = 11.632 Å
α = 158.05°, β = 158.05°, γ = 31.23°
Fractional positions:
La1 0.000 0.000 0.000
La2 0.750 0.250 0.500
Hf1 0.127 0.625 0.002
Hf2 0.375 0.377 0.502
Hf3 0.623 0.125 0.998
Hf4 0.875 0.873 0.498
I1 0.250 0.750 0.500
I2 0.500 0.500 0.000

***

[5]
## Ba3Sr2Ca9 (PBE)

Data for an optimized crystal structure of Ba3Sr2Ca9.

Summary:
Its crystal system is orthorhombic. The value obtained for the formation energy is 0.1151 eV per atom. As for the space-group type: Immm, No. 71. The density of states at the Fermi level is 24.3 states/eV/f.u.

a = 11.029 Å, b = 11.029 Å, c = 11.029 Å
α = 147.00°, β = 97.70°, γ = 91.57°
Fractional positions:
Ba1 0.000 0.000 0.000
Ba2 0.283 0.000 0.283
Ba3 0.717 0.000 0.717
Sr1 0.340 0.840 0.500
Sr2 0.660 0.160 0.500
Ca1 0.012 0.381 0.631
Ca2 0.113 0.259 0.854
Ca3 0.250 0.619 0.631
Ca4 0.405 0.259 0.146
Ca5 0.500 0.500 0.000
Ca6 0.595 0.741 0.854
Ca7 0.750 0.381 0.369
Ca8 0.887 0.741 0.146
Ca9 0.988 0.619 0.369

***

[6]
## BaCd2In3 (PBE)

Data for an optimized crystal structure of BaCd2In3.

Summary:
Its crystal system is monoclinic. The value obtained for the formation energy is -0.2228 eV per atom. Its relative energy among the computed polymorphs is 0 meV/atom. As for the space-group type: C2/m, No. 12. The density of states at the Fermi level is 2.7 states/eV/f.u.

a = 9.445 Å, b = 9.445 Å, c = 8.690 Å
α = 117.39°, β = 117.39°, γ = 31.37°
Fractional positions:
Ba1 0.138 0.138 0.137
Ba2 0.862 0.862 0.863
Cd1 0.187 0.187 0.688
Cd2 0.500 0.500 0.164
Cd3 0.500 0.500 0.836
Cd4 0.813 0.813 0.312
In1 0.000 0.000 0.336
In2 0.000 0.000 0.664
In3 0.332 0.332 0.528
In4 0.333 0.333 0.137
In5 0.667 0.667 0.863
In6 0.668 0.668 0.472

***

[7]
## SnS2O (PBE)

Data for an optimized crystal structure of SnS2O.

Summary:
Its crystal system is tetragonal. Its relative energy among the computed polymorphs is 421 meV/atom. For the uncorrected formation energy, the calculation gives 9.34 kcal/mol of atoms. As for the space-group type: I-42d, No. 122. The density of states at the Fermi level is 2.0 states/eV/f.u.

a = 5.903 Å, b = 5.903 Å, c = 5.903 Å
α = 115.38°, β = 115.38°, γ = 98.21°
Fractional positions:
Sn1 0.000 0.000 0.000
Sn2 0.750 0.250 0.500
S1 0.166 0.625 0.041
S2 0.375 0.416 0.541
S3 0.584 0.125 0.959
S4 0.875 0.834 0.459
O1 0.250 0.750 0.500
O2 0.500 0.500 0.000

***

[8]
## BaCdBi4 (PBE)

Data for an optimized crystal structure of BaCdBi4.

Summary:
Its crystal system is cubic. The value obtained for the formation energy is -0.2098 eV per atom. Its relative energy among the computed polymorphs is 29 meV/atom. As for the space-group type: F-43m, No. 216. The density of states at the Fermi level is 6.8 states/eV/f.u.

a = 6.712 Å, b = 6.712 Å, c = 6.712 Å
α = 60.00°, β = 60.00°, γ = 60.00°
Fractional positions:
Ba1 0.000 0.000 0.000
Cd1 0.750 0.750 0.750
Bi1 0.377 0.377 0.377
Bi2 0.377 0.377 0.869
Bi3 0.377 0.869 0.377
Bi4 0.869 0.377 0.377

***

[9]
## RbAlZnHg2 (PBE)

Data for an optimized crystal structure of RbAlZnHg2.

Summary:
Its crystal system is tetragonal. The value obtained for the formation energy is -0.0012 eV per atom. As for the space-group type: P4/mmm, No. 123. The density of states at the Fermi level is 2.7 states/eV/f.u.

a = 5.430 Å, b = 5.430 Å, c = 5.152 Å
α = 90.00°, β = 90.00°, γ = 90.00°
Fractional positions:
Rb1 0.000 0.000 0.000
Al1 0.500 0.500 0.500
Zn1 0.500 0.500 0.000
Hg1 0.000 0.500 0.500
Hg2 0.500 0.000 0.500

***

[10]
## NbCoHOs2 (PBE)

Data for an optimized crystal structure of NbCoHOs2.

Summary:
Its crystal system is tetragonal. As for the total energy: -8.660 eV per atom. As for the space-group type: P4/mmm, No. 123. The density of states at the Fermi level is 3.0 states/eV/f.u.

a = 3.934 Å, b = 3.934 Å, c = 3.811 Å
α = 90.00°, β = 90.00°, γ = 90.00°
Fractional positions:
Nb1 0.000 0.000 0.000
Co1 0.500 0.500 0.000
H1 0.500 0.500 0.500
Os1 0.000 0.500 0.500
Os2 0.500 0.000 0.500

***

[11]
## CaGaSbTe2 (PBE)

Data for an optimized crystal structure of CaGaSbTe2.

Summary:
Its crystal system is tetragonal. Its relative energy among the computed polymorphs is 347 meV/atom. For the uncorrected formation energy, the calculation gives 4.44 kcal/mol of atoms. As for the space-group type: P4/mmm, No. 123. The density of states at the Fermi level is 4.8 states/eV/f.u.

a = 5.868 Å, b = 5.868 Å, c = 5.767 Å
α = 90.00°, β = 90.00°, γ = 90.00°
Fractional positions:
Ca1 0.000 0.000 0.000
Ga1 0.500 0.500 0.500
Sb1 0.000 0.000 0.500
Te1 0.000 0.500 0.000
Te2 0.500 0.000 0.000

***

[12]
## LaTlCu2 (PBE)

Data for an optimized crystal structure of LaTlCu2.

Summary:
Its crystal system is monoclinic. The value obtained for the formation energy is -0.0115 eV per atom. As for the space-group type: P2/m, No. 10. The density of states at the Fermi level is 3.4 states/eV/f.u.

a = 3.734 Å, b = 4.249 Å, c = 6.038 Å
α = 90.00°, β = 90.10°, γ = 90.00°
Fractional positions:
La1 0.000 0.000 0.000
Tl1 0.500 0.000 0.500
Cu1 0.499 0.500 0.790
Cu2 0.501 0.500 0.210

***

[13]
## AgTeN2F (PBE)

Data for an optimized crystal structure of AgTeN2F.

Summary:
Its crystal system is tetragonal. Its relative energy among the computed polymorphs is 0 meV/atom. For the uncorrected formation energy, the calculation gives 17.82 kcal/mol of atoms. As for the space-group type: P4/mmm, No. 123. The density of states at the Fermi level is 0.9 states/eV/f.u.

a = 4.024 Å, b = 4.024 Å, c = 4.438 Å
α = 90.00°, β = 90.00°, γ = 90.00°
Fractional positions:
Ag1 0.000 0.000 0.000
Te1 0.500 0.500 0.500
N1 0.000 0.500 0.500
N2 0.500 0.000 0.500
F1 0.500 0.500 0.000

***

[14]
## Ca2ZnSi (PBE)

Data for an optimized crystal structure of Ca2ZnSi.

Summary:
Its crystal system is orthorhombic. Its relative energy among the computed polymorphs is 25 meV/atom. For the uncorrected formation energy, the calculation gives -8.67 kcal/mol of atoms. As for the space-group type: Amm2, No. 38. The density of states at the Fermi level is 2.6 states/eV/f.u.

a = 4.220 Å, b = 5.898 Å, c = 5.898 Å
α = 43.80°, β = 90.00°, γ = 90.00°
Fractional positions:
Ca1 0.000 0.000 0.000
Ca2 0.500 0.284 0.284
Zn1 0.500 0.585 0.585
Si1 0.000 0.708 0.708

***

[15]
## NaAcF3 (PBE)

Data for an optimized crystal structure of NaAcF3.

Summary:
Its crystal system is monoclinic. For the uncorrected formation energy, the calculation gives -73.09 kcal/mol of atoms. As for the space-group type: P2_1/c, No. 14. The density of states at the Fermi level is 0.8 states/eV/f.u.

a = 7.392 Å, b = 6.318 Å, c = 8.062 Å
α = 90.00°, β = 101.42°, γ = 90.00°
Fractional positions:
Na1 0.090 0.249 0.452
Na2 0.090 0.251 0.952
Na3 0.910 0.749 0.048
Na4 0.910 0.751 0.548
Ac1 0.349 0.748 0.338
Ac2 0.349 0.752 0.838
Ac3 0.651 0.248 0.162
Ac4 0.651 0.252 0.662
F1 0.042 0.602 0.332
F2 0.042 0.898 0.832
F3 0.204 0.575 0.060
F4 0.204 0.925 0.560
F5 0.426 0.138 0.363
F6 0.426 0.362 0.863
F7 0.574 0.638 0.137
F8 0.574 0.862 0.637
F9 0.796 0.075 0.440
F10 0.796 0.425 0.940
F11 0.958 0.102 0.168
F12 0.958 0.398 0.668

***

[16]
## NiTePd2 (PBE)

Data for an optimized crystal structure of NiTePd2.

Summary:
Its crystal system is tetragonal. For the uncorrected formation energy, the calculation gives -1.10 kcal/mol of atoms. As for the space-group type: P4/mmm, No. 123. The density of states at the Fermi level is 5.8 states/eV/f.u.

a = 3.980 Å, b = 3.980 Å, c = 4.055 Å
α = 90.00°, β = 90.00°, γ = 90.00°
Fractional positions:
Ni1 0.000 0.000 0.000
Te1 0.500 0.500 0.000
Pd1 0.000 0.500 0.500
Pd2 0.500 0.000 0.500

***

[17]
## Pm8Tl3Ir2 (PBE)

Data for an optimized crystal structure of Pm8Tl3Ir2.

Summary:
Its crystal system is monoclinic. The value obtained for the formation energy is -0.3587 eV per atom. As for the space-group type: C2/m, No. 12. The density of states at the Fermi level is 12.2 states/eV/f.u.

a = 9.249 Å, b = 9.249 Å, c = 5.073 Å
α = 94.31°, β = 94.31°, γ = 65.59°
Fractional positions:
Pm1 0.104 0.612 0.460
Pm2 0.136 0.136 0.027
Pm3 0.355 0.355 0.967
Pm4 0.388 0.896 0.540
Pm5 0.612 0.104 0.460
Pm6 0.645 0.645 0.033
Pm7 0.864 0.864 0.973
Pm8 0.896 0.388 0.540
Tl1 0.251 0.749 0.000
Tl2 0.500 0.500 0.500
Tl3 0.749 0.251 0.000
Ir1 0.248 0.248 0.489
Ir2 0.752 0.752 0.511

***

[18]
## Sc2TaAl9 (PBE)

Data for an optimized crystal structure of Sc2TaAl9.

Summary:
Its crystal system is tetragonal. The value obtained for the formation energy is -0.3558 eV per atom. As for the space-group type: P4/mmm, No. 123. The density of states at the Fermi level is 6.3 states/eV/f.u.

a = 4.068 Å, b = 4.068 Å, c = 12.206 Å
α = 90.00°, β = 90.00°, γ = 90.00°
Fractional positions:
Sc1 0.000 0.000 0.169
Sc2 0.000 0.000 0.831
Ta1 0.000 0.000 0.500
Al1 0.000 0.500 0.000
Al2 0.000 0.500 0.338
Al3 0.000 0.500 0.662
Al4 0.500 0.000 0.000
Al5 0.500 0.000 0.338
Al6 0.500 0.000 0.662
Al7 0.500 0.500 0.170
Al8 0.500 0.500 0.500
Al9 0.500 0.500 0.830

***

[19]
## TcPbSe (PBE)

Data for an optimized crystal structure of TcPbSe.

Summary:
Its crystal system is hexagonal. Its relative energy among the computed polymorphs is 372 meV/atom. For the uncorrected formation energy, the calculation gives 8.76 kcal/mol of atoms. As for the space-group type: P-6m2, No. 187. The density of states at the Fermi level is 3.4 states/eV/f.u.

a = 4.456 Å, b = 4.456 Å, c = 3.614 Å
α = 90.00°, β = 90.00°, γ = 120.00°
Fractional positions:
Tc1 0.000 0.000 0.000
Pb1 0.333 0.667 0.500
Se1 0.667 0.333 0.000

***

[20]
## Cd5SnHg2 (PBE)

Data for an optimized crystal structure of Cd5SnHg2.

Summary:
Its crystal system is tetragonal. The value obtained for the formation energy is 0.0515 eV per atom. Its relative energy among the computed polymorphs is 7 meV/atom. As for the space-group type: I4/mcm, No. 140. The density of states at the Fermi level is 3.2 states/eV/f.u.

a = 8.535 Å, b = 8.535 Å, c = 8.535 Å
α = 125.49°, β = 125.49°, γ = 80.74°
Fractional positions:
Cd1 0.000 0.000 0.000
Cd2 0.018 0.518 0.207
Cd3 0.190 0.982 0.500
Cd4 0.310 0.810 0.793
Cd5 0.482 0.690 0.500
Cd6 0.500 0.500 0.000
Cd7 0.518 0.310 0.500
Cd8 0.690 0.190 0.207
Cd9 0.810 0.018 0.500
Cd10 0.982 0.482 0.793
Sn1 0.250 0.250 0.000
Sn2 0.750 0.750 0.000
Hg1 0.151 0.349 0.500
Hg2 0.349 0.849 0.197
Hg3 0.651 0.151 0.803
Hg4 0.849 0.651 0.500

***

[21]
## Tb2Pm6PrNd3 (PBE)

Data for an optimized crystal structure of Tb2Pm6PrNd3.

Summary:
Its crystal system is monoclinic. The value obtained for the formation energy is 0.0138 eV per atom. As for the space-group type: C2/m, No. 12. The density of states at the Fermi level is 17.8 states/eV/f.u.

a = 6.321 Å, b = 6.321 Å, c = 12.109 Å
α = 95.01°, β = 95.01°, γ = 119.99°
Fractional positions:
Tb1 0.167 0.833 0.000
Tb2 0.833 0.167 0.000
Pm1 0.083 0.417 0.752
Pm2 0.249 0.249 0.248
Pm3 0.417 0.083 0.752
Pm4 0.583 0.917 0.248
Pm5 0.751 0.751 0.752
Pm6 0.917 0.583 0.248
Pr1 0.500 0.500 0.000
Nd1 0.000 0.000 0.500
Nd2 0.333 0.667 0.500
Nd3 0.667 0.333 0.500

***

[22]
## YErScPt (PBE)

Data for an optimized crystal structure of YErScPt.

Summary:
Its crystal system is cubic. The value obtained for the formation energy is -0.3880 eV per atom. As for the space-group type: F-43m, No. 216. The density of states at the Fermi level is 5.1 states/eV/f.u.

a = 5.081 Å, b = 5.081 Å, c = 5.081 Å
α = 60.00°, β = 60.00°, γ = 60.00°
Fractional positions:
Y1 0.000 0.000 0.000
Er1 0.500 0.500 0.500
Sc1 0.250 0.250 0.250
Pt1 0.750 0.750 0.750

***

Summary of spin magnetization in Bohr magnetons per cell
3.00, 8.02, 0.42, 0.00, 0.00, 0.00, 0.00, 0.00, 0.00, 0.00, 0.00, 0.00, 0.00, 0.00, 0.00, 0.45, 0.00, 0.00, 0.00, 0.00, 0.00, 1.15
(order as listed above)